(1)
ZnRh2Br (meta-GGA SCAN, PBEsol geometry); electronic total energy = -98.98 eV per cell; magnetic moment = 0.000 μB per cell; crystal system = orthorhombic
1.0
2.8530 0.0000 0.0000
0.0000 4.9570 0.0000
-1.4265 -2.4785 4.3054
Br Rh Zn
1 2 1
Direct
0.0000 0.5000 0.0000 Br
0.7506 0.7506 0.5012 Rh
0.2494 0.2494 0.4988 Rh
0.5000 0.0000 0.0000 Zn

=====

(2)
GePtO2F (meta-GGA SCAN, PBEsol geometry); electronic total energy = -106.94 eV per cell; magnetic moment = 0.000 μB per cell; crystal system = tetragonal
1.0
-1.5666 -2.6893 -2.4707
3.2311 -2.2737 0.4262
-1.7732 -1.9178 3.2117
Ge O Pt F
1 2 1 1
Direct
0.5000 0.5000 0.5000 Ge
0.0000 0.5000 0.0000 O
0.5000 0.0000 0.0000 O
0.0000 0.0000 0.0000 Pt
0.0000 0.0000 0.5000 F

=====

(3)
Ti4Si7Ni4 (meta-GGA SCAN, PBEsol geometry); electronic total energy = -420.29 eV per cell; magnetic moment = 0.000 μB per cell; crystal system = tetragonal
1.0
-0.5945 0.7690 4.8024
5.7822 -5.7529 4.1365
5.9906 6.5536 2.1916
Ti Si Ni
8 14 8
Direct
0.6900 0.8100 0.8100 Ti
0.8656 0.0000 0.2689 Ti
0.5000 0.8100 0.1900 Ti
0.3100 0.1900 0.1900 Ti
0.1344 0.0000 0.7311 Ti
0.8656 0.2689 0.0000 Ti
0.1344 0.7311 0.0000 Ti
0.5000 0.1900 0.8100 Ti
0.2489 0.0000 0.0000 Si
0.7114 0.2886 0.2886 Si
0.2956 0.0000 0.4088 Si
0.7044 0.5912 0.0000 Si
0.2956 0.4088 0.0000 Si
0.7044 0.0000 0.5912 Si
0.0000 0.7114 0.2886 Si
0.0000 0.2886 0.7114 Si
0.7511 0.0000 0.0000 Si
0.9062 0.5938 0.5938 Si
0.5000 0.4062 0.5938 Si
0.5000 0.5938 0.4062 Si
0.0938 0.4062 0.4062 Si
0.2886 0.7114 0.7114 Si
0.8989 0.2022 0.5000 Ni
0.6011 0.7978 0.5000 Ni
0.3989 0.5000 0.2022 Ni
0.8989 0.5000 0.2022 Ni
0.1011 0.7978 0.5000 Ni
0.3989 0.2022 0.5000 Ni
0.6011 0.5000 0.7978 Ni
0.1011 0.5000 0.7978 Ni

=====

(4)
Ca2CuAg (meta-GGA SCAN, PBEsol geometry); E_form = -0.1560 eV/atom; electronic total energy = -66.52 eV per cell; magnetic moment = 0.000 μB per cell; crystal system = tetragonal
1.0
3.5473 0.0000 0.0000
0.0000 5.0662 0.0287
0.0000 -0.0258 5.0662
Ca Cu Ag
2 1 1
Direct
0.0000 0.5000 0.0000 Ca
0.0000 0.0000 0.5000 Ca
0.5000 0.0000 0.0000 Cu
0.5000 0.5000 0.5000 Ag

=====

(5)
Rb2TiAg (meta-GGA SCAN, PBEsol geometry); E_form = 1.0161 eV/atom; electronic total energy = -84.81 eV per cell; magnetic moment = 2.959 μB per cell; crystal system = cubic
1.0
-4.1745 2.1739 3.6425
-5.3260 -2.6352 0.3310
-1.5322 -3.0082 4.9014
Rb Ag Ti
2 1 1
Direct
0.2500 0.2500 0.2500 Rb
0.7500 0.7500 0.7500 Rb
0.5000 0.5000 0.5000 Ag
0.0000 0.0000 0.0000 Ti

=====

(6)
Sc2OsRu (meta-GGA SCAN, PBEsol geometry); E_form = -0.4851 eV/atom; electronic total energy = -137.12 eV per cell; magnetic moment = 0.000 μB per cell; crystal system = orthorhombic
1.0
3.1332 0.0000 0.0000
0.0000 4.3874 0.0000
-1.5666 -2.1937 4.7173
Sc Ru Os
2 1 1
Direct
0.9895 0.4895 0.9791 Sc
0.7600 0.7600 0.5201 Sc
0.2391 0.2391 0.4783 Ru
0.5113 0.0113 0.0226 Os

=====

(7)
BaCoPb (meta-GGA SCAN, PBEsol geometry); E_form = 0.0968 eV/atom; electronic total energy = -132.35 eV per cell; magnetic moment = 1.064 μB per cell; crystal system = tetragonal
1.0
3.5070 0.0000 0.0000
0.0000 3.5070 0.0000
-1.7535 -1.7535 6.1272
Pb Co Ba
1 1 1
Direct
0.7109 0.7109 0.4218 Pb
0.3015 0.3015 0.6030 Co
0.9876 0.9876 0.9752 Ba

=====

(8)
Mn2NiAs (meta-GGA SCAN, PBEsol geometry); E_form = -0.2039 eV/atom; electronic total energy = -73.69 eV per cell; magnetic moment = 0.074 μB per cell; crystal system = tetragonal
1.0
3.6296 0.0000 0.0000
0.0000 3.6296 0.0000
-1.8148 -1.8148 3.4766
As Mn Ni
1 2 1
Direct
0.2500 0.7500 0.5000 As
0.0000 0.0000 0.0000 Mn
0.7500 0.2500 0.5000 Mn
0.5000 0.5000 0.0000 Ni

=====

(9)
BeCu2 (meta-GGA SCAN, PBEsol geometry); E_form = -0.0690 eV/atom; electronic total energy = -69.92 eV per cell; magnetic moment = 0.000 μB per cell; crystal system = monoclinic
1.0
2.5222 0.0000 0.0000
-1.2611 4.4138 -0.0282
0.0000 -1.4395 5.5312
Be Cu
2 4
Direct
0.9988 0.9977 0.0109 Be
0.6744 0.3489 0.3395 Be
0.3435 0.6871 0.6837 Cu
0.3872 0.7745 0.2617 Cu
0.0604 0.1208 0.5898 Cu
0.7022 0.4045 0.9477 Cu

=====

(10)
CuHg2Ru (meta-GGA SCAN, PBEsol geometry); E_form = 0.4908 eV/atom; electronic total energy = -184.39 eV per cell; magnetic moment = 0.000 μB per cell; crystal system = cubic
1.0
4.5081 0.0000 0.0000
2.2540 3.9041 0.0000
2.2540 1.3014 3.6808
Cu Hg Ru
1 2 1
Direct
0.0000 0.0000 0.0000 Cu
0.2500 0.2500 0.2500 Hg
0.7500 0.7500 0.7500 Hg
0.5000 0.5000 0.5000 Ru

=====

(11)
HfZr3Os (meta-GGA SCAN, PBEsol geometry); E_form = 0.3590 eV/atom; electronic total energy = -224.85 eV per cell; magnetic moment = 0.000 μB per cell; crystal system = cubic
1.0
4.9746 0.0000 0.0000
0.0000 4.9746 0.0000
0.0000 0.0000 4.9746
Hf Os Zr
1 1 3
Direct
0.5000 0.5000 0.5000 Hf
0.0000 0.0000 0.0000 Os
0.0000 0.5000 0.0000 Zr
0.0000 0.0000 0.5000 Zr
0.5000 0.0000 0.0000 Zr

=====

(12)
AlSiSe2 (meta-GGA SCAN, PBEsol geometry); electronic total energy = -59.49 eV per cell; magnetic moment = 0.001 μB per cell; crystal system = trigonal
1.0
-1.3043 0.1019 3.3134
1.8191 -1.4886 2.6768
3.8171 6.2046 3.2269
Si Al Se
1 1 2
Direct
0.5004 0.5004 0.4989 Si
0.2515 0.2515 0.2456 Al
0.9739 0.9739 0.0784 Se
0.7743 0.7743 0.6770 Se

=====

(13)
RbGeSbO5 (meta-GGA SCAN, PBEsol geometry); electronic total energy = -982.76 eV per cell; magnetic moment = 0.000 μB per cell; crystal system = orthorhombic
1.0
-5.4150 -1.7740 -3.5706
3.7709 -10.1393 -0.6812
-6.4493 -3.1612 11.3514
Rb Ge Sb O
8 8 8 40
Direct
0.1967 0.5621 0.3898 Rb
0.8033 0.0621 0.6102 Rb
0.3033 0.5621 0.8898 Rb
0.6967 0.0621 0.1102 Rb
0.2759 0.8159 0.1147 Rb
0.7241 0.3159 0.8853 Rb
0.2241 0.8159 0.6147 Rb
0.7759 0.3159 0.3853 Rb
0.0092 0.9997 0.3194 Ge
0.9908 0.4997 0.6806 Ge
0.4908 0.9997 0.8194 Ge
0.5092 0.4997 0.1806 Ge
0.8196 0.7484 0.0006 Ge
0.1804 0.2484 0.9994 Ge
0.6804 0.7484 0.5006 Ge
0.3196 0.2484 0.4994 Ge
0.7558 0.7473 0.2536 Sb
0.2442 0.2473 0.7464 Sb
0.7442 0.7473 0.7536 Sb
0.2558 0.2473 0.2464 Sb
0.0056 0.5006 0.1185 Sb
0.9944 0.0006 0.8815 Sb
0.4944 0.5006 0.6185 Sb
0.5056 0.0006 0.3815 Sb
0.5445 0.8735 0.2777 O
0.4555 0.3735 0.7223 O
0.9555 0.8735 0.7777 O
0.0445 0.3735 0.2223 O
0.4706 0.1268 0.2767 O
0.5294 0.6268 0.7233 O
0.0294 0.1268 0.7767 O
0.9706 0.6268 0.2233 O
0.9574 0.8783 0.2355 O
0.0426 0.3783 0.7645 O
0.5426 0.8783 0.7355 O
0.4574 0.3783 0.2645 O
0.0503 0.1187 0.2313 O
0.9497 0.6187 0.7687 O
0.4497 0.1187 0.7313 O
0.6618 0.7299 0.8973 O
0.5503 0.6187 0.2687 O
0.7875 0.4673 0.6029 O
0.2875 0.9673 0.8971 O
0.7125 0.4673 0.1029 O
0.8012 0.0387 0.3919 O
0.1988 0.5387 0.6081 O
0.6988 0.0387 0.8919 O
0.3012 0.5387 0.1081 O
0.4950 0.1300 0.4870 O
0.5050 0.6300 0.5130 O
0.0050 0.1300 0.9870 O
0.9950 0.6300 0.0130 O
0.4618 0.3844 0.5065 O
0.5382 0.8844 0.4935 O
0.0382 0.3844 0.0065 O
0.9618 0.8844 0.9935 O
0.1740 0.2635 0.3911 O
0.8260 0.7635 0.6089 O
0.3260 0.2635 0.8911 O
0.6740 0.7635 0.1089 O
0.1618 0.2299 0.6027 O
0.8382 0.7299 0.3973 O
0.3382 0.2299 0.1027 O
0.2125 0.9673 0.3971 O

=====

(14)
LiYAs2 (meta-GGA SCAN, PBEsol geometry); E_form = -0.7521 eV/atom; electronic total energy = -73.62 eV per cell; magnetic moment = 0.149 μB per cell; crystal system = tetragonal
1.0
3.9547 0.0000 0.0000
0.0000 3.9547 0.0000
0.0000 0.0000 5.6442
Y As Li
1 2 1
Direct
0.5000 0.5000 0.8426 Y
0.0000 0.0000 0.9092 As
0.5000 0.5000 0.3448 As
0.0000 0.0000 0.4035 Li

=====

(15)
Zr3TaH (meta-GGA SCAN, PBEsol geometry); electronic total energy = -162.05 eV per cell; magnetic moment = 0.000 μB per cell; crystal system = cubic
1.0
4.4043 0.0000 0.0000
0.0000 4.4043 0.0000
0.0000 0.0000 4.4043
H Zr Ta
1 3 1
Direct
0.0000 0.0000 0.0000 H
0.0000 0.5000 0.0000 Zr
0.0000 0.0000 0.5000 Zr
0.5000 0.0000 0.0000 Zr
0.5000 0.5000 0.5000 Ta

=====

(16)
PRhSeBr2 (meta-GGA SCAN, PBEsol geometry); electronic total energy = -99.49 eV per cell; magnetic moment = 2.063 μB per cell; crystal system = tetragonal
1.0
-1.0739 -4.5045 1.4653
-0.5619 -1.3704 -4.6247
4.7024 -1.1921 -0.2181
P Rh Se Br
1 1 1 2
Direct
0.0000 0.0000 0.0000 P
0.5000 0.5000 0.5000 Rh
0.5000 0.0000 0.0000 Se
0.0000 0.0000 0.5000 Br
0.0000 0.5000 0.0000 Br

=====

(17)
Zn8Rh (meta-GGA SCAN, PBEsol geometry); E_form = -0.1406 eV/atom; electronic total energy = -143.16 eV per cell; magnetic moment = 0.000 μB per cell; crystal system = tetragonal
1.0
-3.5842 -0.4832 0.4595
-1.6670 -4.6887 -3.4708
-0.7412 -3.8639 4.6184
Rh Zn
1 8
Direct
0.0000 0.0000 0.0000 Rh
0.0000 0.3320 0.6680 Zn
0.0000 0.6680 0.3320 Zn
0.6680 0.3320 0.3320 Zn
0.6657 0.6687 0.0000 Zn
0.6657 0.0000 0.6687 Zn
0.3320 0.6680 0.6680 Zn
0.3343 0.0000 0.3313 Zn
0.3343 0.3313 0.0000 Zn

=====

(18)
Tl2TeSe (meta-GGA SCAN, PBEsol geometry); electronic total energy = -202.04 eV per cell; magnetic moment = 0.000 μB per cell; crystal system = tetragonal
1.0
4.4469 0.0000 0.0000
0.0000 4.4469 0.0000
-2.2234 -2.2234 5.5283
Se Te Tl
1 1 2
Direct
0.5000 0.5000 0.0000 Se
0.2500 0.7500 0.5000 Te
0.0000 0.0000 0.0000 Tl
0.7500 0.2500 0.5000 Tl

=====

(19)
BaLiIr2 (meta-GGA SCAN, PBEsol geometry); E_form = 0.6805 eV/atom; electronic total energy = -181.42 eV per cell; magnetic moment = 0.000 μB per cell; crystal system = orthorhombic
1.0
-2.4632 0.6352 -1.4146
0.1076 -2.6672 1.1605
-3.6734 3.2745 7.8664
Ba Ir Li
1 2 1
Direct
0.5000 0.5000 0.0000 Ba
0.0000 0.0000 0.2796 Ir
0.0000 0.0000 0.7204 Ir
0.5000 0.5000 0.5000 Li

=====

(20)
YPbW (meta-GGA SCAN, PBEsol geometry); E_form = 0.4124 eV/atom; electronic total energy = -172.07 eV per cell; magnetic moment = 0.918 μB per cell; crystal system = tetragonal
1.0
-3.4900 -0.4604 0.8490
0.9231 -2.5264 2.4245
1.6778 5.0369 1.9055
Pb W Y
1 1 1
Direct
0.9825 0.9825 0.9651 Pb
0.3450 0.3450 0.6899 W
0.6725 0.6725 0.3450 Y

=====

The records above give, respectively, Fermi-level density of states values of 3.38; 1.04; 16.38; 2.88; 5.11; 1.67; 0.84; 3.34; 1.52; 1.60; 6.86; 1.33; 0.00; 2.19; 6.57; 1.15; 2.30; 2.66; 2.25; 0.96 states/eV per cell.